Computed, not measured: a relaxed structure of Ta2CoAs at the PBEsol level of DFT.

Lattice parameters (Å, degrees): 3.644 4.485 7.357 90.00 90.00 90.00
Space group Cmmm (No. 65)
Asymmetric unit:
Ta 0.000 0.000 0.236 (multiplicity 4)
Co 0.000 0.500 0.000 (multiplicity 2)
As 0.000 0.500 0.500 (multiplicity 2)

Values from the calculation:
- E_form (eV/atom) = -0.104
- theoretical density (g/cm³) = 13.69
- N(E_F) (states/eV/atom) = 0.74


Computed, not measured: a relaxed structure of SiAgSb3 at the PBEsol level of DFT.

Lattice parameters (Å, degrees): 5.117 5.117 5.117 90.00 90.00 90.00
Space group Pm-3m (No. 221)
Asymmetric unit:
Si 0.000 0.000 0.000 (multiplicity 1)
Ag 0.500 0.500 0.500 (multiplicity 1)
Sb 0.000 0.000 0.500 (multiplicity 3)

Values from the calculation:
- theoretical density (g/cm³) = 6.21
- N(E_F) (states/eV/atom) = 0.63
- ΔE_f (raw) (eV per atom) = 0.752


Computed, not measured: a relaxed structure of Cs2TlCuF6 at the PBEsol level of DFT.

Lattice parameters (Å, degrees): 8.788 8.788 8.788 90.00 90.00 90.00
Space group Fm-3m (No. 225)
Asymmetric unit:
Cs 0.250 0.250 0.250 (multiplicity 8)
Tl 0.000 0.000 0.000 (multiplicity 4)
Cu 0.000 0.000 0.500 (multiplicity 4)
F 0.000 0.000 0.270 (multiplicity 24)

Values from the calculation:
- theoretical density (g/cm³) = 6.34
- N(E_F) (states/eV/atom) = 0.37
- ΔE_f (raw) (eV per atom) = -2.144